This record from the Alexandria database describes MoPd2Pt after structural relaxation. The functional is PBE.

extended XYZ file:
```
4
Lattice="-0.052 -1.394 4.225 -2.564 -3.440 1.175 1.861 -3.895 1.081" Properties=species:S:1:pos:R:3 pbc="T T T"
Pd -2.617 -4.835 5.400
Pd -0.189 -2.183 1.620
Mo -0.378 -4.365 3.240
Pt -0.567 -6.547 4.861
```

Energy above the most stable polymorph in this dataset in eV/atom: 0.171
Formation energy in eV per atom: 0.02
Size of the total moment in μB/f.u.: 0.00
Space group: F-43m